1.
The following is a PBE calculation of a relaxed structure of Ac4Te2RuCl, from Alexandria via LeMat-Bulk.

The electronic total energy comes out at -43.06 eV per cell. The value obtained for the uncorrected formation energy is -1.153 eV/atom. The density of states at the Fermi level comes out at 0.728 states/eV per atom.

Cell and atoms, written as extended XYZ:
```
8
Lattice="-4.375 0.705 0.145 -0.597 -2.146 -7.604 -0.953 -6.835 4.496" Properties=species:S:1:pos:R:3 pbc="T T T"
Ac -2.562 -1.762 -0.947
Ac -3.363 -6.513 -2.016
Ac -0.923 -6.010 1.394
Ac -0.628 -2.970 -4.502
Te -2.664 -3.065 2.320
Te -0.775 -4.490 -1.554
Ru -2.486 -0.720 -3.729
Cl 0.000 0.000 0.000
```


2.
The following is a PBE calculation of a relaxed structure of Ce2YTlCo, from Alexandria via LeMat-Bulk.

The electronic total energy comes out at -29.04 eV per cell. The formation energy comes out at -0.247 eV/atom. The density of states at the Fermi level comes out at 1.572 states/eV per atom.

Cell and atoms, written as extended XYZ:
```
5
Lattice="-3.915 -2.393 -1.828 2.987 -2.709 -2.852 0.425 -3.767 4.023" Properties=species:S:1:pos:R:3 pbc="T T T"
Ce 1.918 -5.121 2.596
Ce 1.454 -7.672 0.257
Y 3.200 -4.592 -0.840
Tl -0.251 -4.436 -0.327
Co 0.425 -3.767 4.023
```


3.
The following is a PBE calculation of a relaxed structure of NdTmInIr, from Alexandria via LeMat-Bulk.

The electronic total energy comes out at -22.77 eV per cell. The formation energy comes out at -0.482 eV/atom. The density of states at the Fermi level comes out at 0.788 states/eV per atom.

Cell and atoms, written as extended XYZ:
```
4
Lattice="-0.998 2.034 -4.603 -0.833 -3.062 -4.032 -4.707 -0.378 -2.005" Properties=species:S:1:pos:R:3 pbc="T T T"
Nd -1.635 -0.351 -2.660
Ir 0.000 0.000 0.000
Tm -4.904 -1.054 -7.980
In -3.269 -0.703 -5.320
```


4.
The following is a PBE calculation of a relaxed structure of NaHg4Au2, from Alexandria via LeMat-Bulk.

The electronic total energy comes out at -9.58 eV per cell. The formation energy comes out at -0.071 eV/atom. The density of states at the Fermi level comes out at 0.319 states/eV per atom. The value obtained for the offset from the most stable computed form is 7 meV/atom.

Cell and atoms, written as extended XYZ:
```
7
Lattice="3.963 0.000 0.000 0.000 4.801 0.000 0.000 -2.401 9.134" Properties=species:S:1:pos:R:3 pbc="T T T"
Na 0.000 0.000 0.000
Hg 1.981 2.401 6.306
Hg 0.000 2.401 3.564
Hg 1.981 0.000 2.828
Hg 0.000 0.000 5.571
Au 1.981 2.401 1.331
Au 1.981 0.000 7.803
```


5.
The following is a PBE calculation of a relaxed structure of KCo2Ru, from Alexandria via LeMat-Bulk.

The electronic total energy comes out at -21.38 eV per cell. The formation energy comes out at 0.801 eV/atom. The density of states at the Fermi level comes out at 0.878 states/eV per atom. The value obtained for the offset from the most stable computed form is 111 meV/atom.

Cell and atoms, written as extended XYZ:
```
4
Lattice="-4.767 8.372 1.696 -5.128 7.230 4.138 -2.855 8.630 3.614" Properties=species:S:1:pos:R:3 pbc="T T T"
Co -12.720 24.174 9.425
Co -3.400 6.461 2.519
K -6.394 12.152 4.738
Ru -9.362 17.792 6.937
```


6.
The following is a PBE calculation of a relaxed structure of Ho2ScCu3, from Alexandria via LeMat-Bulk.

The electronic total energy comes out at -29.35 eV per cell. The formation energy comes out at -0.263 eV/atom. The density of states at the Fermi level comes out at 0.496 states/eV per atom.

Cell and atoms, written as extended XYZ:
```
6
Lattice="3.380 0.000 0.000 0.000 3.380 0.000 0.000 0.000 10.203" Properties=species:S:1:pos:R:3 pbc="T T T"
Ho 1.690 1.690 8.441
Ho 1.690 1.690 1.762
Sc 1.690 1.690 5.102
Cu 0.000 0.000 0.000
Cu 0.000 0.000 6.622
Cu 0.000 0.000 3.581
```


7.
The following is a PBE calculation of a relaxed structure of Al3Pt, from Alexandria via LeMat-Bulk.

The electronic total energy comes out at -38.26 eV per cell. The formation energy comes out at -0.466 eV/atom. The density of states at the Fermi level comes out at 0.295 states/eV per atom.

Cell and atoms, written as extended XYZ:
```
8
Lattice="4.570 0.000 0.000 0.000 4.558 0.000 0.000 0.000 5.900" Properties=species:S:1:pos:R:3 pbc="T T T"
Al 1.553 2.279 0.000
Al 3.016 0.000 2.950
Al 0.756 0.000 4.398
Al 0.756 0.000 1.502
Al 3.813 2.279 1.448
Al 3.813 2.279 4.452
Pt 2.977 0.000 0.000
Pt 1.593 2.279 2.950
```


8.
The following is a PBE calculation of a relaxed structure of PrSm5Tm2, from Alexandria via LeMat-Bulk.

The electronic total energy comes out at -72.04 eV per cell. The formation energy comes out at 0.162 eV/atom. The density of states at the Fermi level comes out at 1.594 states/eV per atom. The value obtained for the offset from the most stable computed form is 147 meV/atom.

Cell and atoms, written as extended XYZ:
```
16
Lattice="-8.772 -0.910 1.530 -5.601 -4.168 5.078 0.420 8.609 7.529" Properties=species:S:1:pos:R:3 pbc="T T T"
Pr -8.776 2.459 10.725
Pr -5.178 1.072 3.413
Sm -5.671 7.143 8.208
Sm -5.815 4.163 5.601
Sm -5.356 0.619 6.969
Sm -5.502 -2.378 4.347
Sm -8.423 0.123 4.679
Sm -5.531 3.408 9.459
Sm -8.598 2.912 7.169
Sm -8.452 5.909 9.790
Sm -8.283 -3.612 5.930
Sm -8.139 -0.632 8.536
Tm -10.911 0.095 7.142
Tm -11.021 -2.175 5.158
Tm -3.043 3.436 6.996
Tm -2.933 5.705 8.980
```


9.
The following is a PBE calculation of a relaxed structure of Cd2H2Br, from Alexandria via LeMat-Bulk.

The electronic total energy comes out at -9.52 eV per cell. The density of states at the Fermi level comes out at 0.301 states/eV per atom. The value obtained for the offset from the most stable computed form is 184 meV/atom.

Cell and atoms, written as extended XYZ:
```
5
Lattice="-0.953 2.283 3.002 -1.441 -3.081 1.886 3.754 -1.323 4.718" Properties=species:S:1:pos:R:3 pbc="T T T"
H 0.802 0.281 5.082
H 0.558 -2.402 4.524
Br 0.000 0.000 0.000
Cd 0.391 -0.695 3.173
Cd 0.969 -1.426 6.433
```


10.
The following is a PBE calculation of a relaxed structure of NdDy5Er7, from Alexandria via LeMat-Bulk.

The electronic total energy comes out at -56.41 eV per cell. The formation energy comes out at 0.255 eV/atom. The density of states at the Fermi level comes out at 1.890 states/eV per atom. The value obtained for the offset from the most stable computed form is 2 meV/atom.

Cell and atoms, written as extended XYZ:
```
13
Lattice="6.652 0.000 0.000 3.326 7.971 0.172 3.326 0.147 7.971" Properties=species:S:1:pos:R:3 pbc="T T T"
Nd 6.652 7.866 7.892
Dy 8.205 8.023 4.468
Dy 11.750 8.023 4.468
Dy 8.205 4.442 8.037
Dy 11.750 4.442 8.037
Dy 9.977 6.220 6.240
Er 6.652 2.207 2.214
Er 6.652 4.681 4.696
Er 9.977 2.883 5.539
Er 9.977 5.529 2.901
Er 3.326 2.193 2.200
Er 6.652 6.804 1.649
Er 6.652 1.627 6.810
```


11.
The following is a PBE calculation of a relaxed structure of Ta2InSi, from Alexandria via LeMat-Bulk.

The electronic total energy comes out at -30.90 eV per cell. The value obtained for the uncorrected formation energy is 0.241 eV/atom. The density of states at the Fermi level comes out at 0.986 states/eV per atom.

Cell and atoms, written as extended XYZ:
```
4
Lattice="9.721 -0.007 -0.004 9.259 2.963 -0.004 9.259 1.442 2.589" Properties=species:S:1:pos:R:3 pbc="T T T"
In 14.055 2.189 1.284
Si 21.022 3.274 1.921
Ta 0.158 0.025 0.014
Ta 7.123 1.109 0.651
```


12.
The following is a PBE calculation of a relaxed structure of RbZr2ZnGe, from Alexandria via LeMat-Bulk.

The electronic total energy comes out at -13.72 eV per cell. The formation energy comes out at 2.047 eV/atom. The density of states at the Fermi level comes out at 1.495 states/eV per atom.

Cell and atoms, written as extended XYZ:
```
5
Lattice="5.131 0.000 0.000 0.000 5.062 0.000 0.000 0.000 5.131" Properties=species:S:1:pos:R:3 pbc="T T T"
Zn 0.000 2.531 0.000
Ge 2.566 2.531 2.566
Rb 0.000 0.000 0.000
Zr 0.000 0.000 2.566
Zr 2.566 0.000 0.000
```